Entry 1:
Computed, not measured: Pr2PtAu after structural relaxation at the PBE level of DFT.

Summary:
Formation enthalpy at 0 K ... -972 meV per atom
Space group ... P2_1/m

a = 5.821 Å, b = 4.733 Å, c = 7.495 Å
α = 90.00°, β = 90.66°, γ = 90.00°
Element x y z (fractional)
Pt (0.340, 0.250, 0.955)
Pt (0.660, 0.750, 0.045)
Au (0.854, 0.750, 0.541)
Au (0.146, 0.250, 0.459)
Pr (0.144, 0.750, 0.173)
Pr (0.856, 0.250, 0.827)
Pr (0.363, 0.750, 0.698)
Pr (0.637, 0.250, 0.302)

=====

Entry 2:
Computed, not measured: ErUW after structural relaxation at the PBE level of DFT.

Summary:
Formation enthalpy at 0 K ... 1451 meV per atom
Space group ... F-43m
Distance to the lowest polymorph of the same formula ... 0 meV per atom

a = 4.685 Å, b = 4.685 Å, c = 4.685 Å
α = 60.00°, β = 60.00°, γ = 60.00°
Element x y z (fractional)
Er (0.250, 0.250, 0.250)
U (0.000, 0.000, 0.000)
W (0.750, 0.750, 0.750)

=====

Entry 3:
Computed, not measured: NbCoHgBi after structural relaxation at the PBE level of DFT.

Summary:
Space group ... F-43m
Distance to the lowest polymorph of the same formula ... 86 meV per atom

a = 4.818 Å, b = 4.818 Å, c = 4.818 Å
α = 60.00°, β = 60.00°, γ = 60.00°
Element x y z (fractional)
Bi (0.000, 0.000, 0.000)
Co (0.750, 0.750, 0.750)
Nb (0.500, 0.500, 0.500)
Hg (0.250, 0.250, 0.250)

=====

Entry 4:
Computed, not measured: Y2Ho2CIBr2Cl2 after structural relaxation at the PBE level of DFT.

Summary:
Raw total energy ... -5.459 eV per atom
Space group ... C2/m

a = 8.757 Å, b = 8.757 Å, c = 8.534 Å
α = 103.69°, β = 103.69°, γ = 25.29°
Element x y z (fractional)
Cl (0.171, 0.171, 0.860)
Cl (0.829, 0.829, 0.140)
I (0.500, 0.500, 0.500)
C (0.500, 0.500, 0.000)
Y (0.001, 0.001, 0.809)
Y (0.999, 0.999, 0.191)
Br (0.827, 0.827, 0.676)
Br (0.173, 0.173, 0.324)
Ho (0.357, 0.357, 0.929)
Ho (0.643, 0.643, 0.071)

=====

Entry 5:
Computed, not measured: NaAg3IrO4 after structural relaxation at the PBE level of DFT.

Summary:
Raw total energy ... -4.214 eV per atom
Space group ... P-43m

a = 5.393 Å, b = 5.393 Å, c = 5.393 Å
α = 90.00°, β = 90.00°, γ = 90.00°
Element x y z (fractional)
Ir (0.000, 0.000, 0.000)
O (0.768, 0.232, 0.232)
O (0.768, 0.768, 0.768)
O (0.232, 0.768, 0.232)
O (0.232, 0.232, 0.768)
Ag (0.500, 0.000, 0.000)
Ag (0.000, 0.500, 0.000)
Ag (0.000, 0.000, 0.500)
Na (0.500, 0.500, 0.500)

=====

Entry 6:
Computed, not measured: PrYBr after structural relaxation at the PBE level of DFT.

Summary:
Raw total energy ... -4.345 eV per atom
Space group ... P4/mmm

a = 3.973 Å, b = 3.973 Å, c = 6.951 Å
α = 90.00°, β = 90.00°, γ = 90.00°
Element x y z (fractional)
Y (0.500, 0.500, 0.000)
Pr (0.500, 0.500, 0.500)
Br (0.000, 0.000, 0.000)

=====

Entry 7:
Computed, not measured: ErNpCd after structural relaxation at the PBE level of DFT.

Summary:
Formation enthalpy at 0 K ... 925 meV per atom
Space group ... F-43m

a = 4.847 Å, b = 4.847 Å, c = 4.847 Å
α = 60.00°, β = 60.00°, γ = 60.00°
Element x y z (fractional)
Cd (0.250, 0.250, 0.250)
Er (0.000, 0.000, 0.000)
Np (0.750, 0.750, 0.750)

=====

Entry 8:
Computed, not measured: Lu4Sc2Co3C3 after structural relaxation at the PBE level of DFT.

Summary:
Raw total energy ... -6.816 eV per atom
Space group ... C2/c

a = 5.983 Å, b = 5.983 Å, c = 13.842 Å
α = 102.23°, β = 102.23°, γ = 59.63°
Element x y z (fractional)
Lu (0.130, 0.305, 0.902)
Lu (0.205, 0.025, 0.097)
Lu (0.695, 0.870, 0.598)
Lu (0.870, 0.695, 0.098)
Lu (0.975, 0.795, 0.403)
Lu (0.795, 0.975, 0.903)
Lu (0.025, 0.205, 0.597)
Lu (0.305, 0.130, 0.402)
Co (0.601, 0.794, 0.251)
Co (0.727, 0.273, 0.750)
Co (0.399, 0.206, 0.749)
Co (0.206, 0.399, 0.249)
Co (0.794, 0.601, 0.751)
Co (0.273, 0.727, 0.250)
C (0.178, 0.661, 0.996)
C (0.822, 0.339, 0.004)
C (0.500, 0.000, 0.000)
C (0.000, 0.500, 0.500)
C (0.339, 0.822, 0.504)
C (0.661, 0.178, 0.496)
Sc (0.522, 0.373, 0.094)
Sc (0.373, 0.522, 0.594)
Sc (0.478, 0.627, 0.906)
Sc (0.627, 0.478, 0.406)

=====

Magnetization readings, ordered: 0.00; 0.75; 0.25; 0.02; 0.55; 0.43; 1.54; 0.20 μB/atom